Compound: RbZnOs2
Source: Alexandria via LeMat-Bulk
Functional: PBE
Structure: optimized geometry

- DOS(E_F) (states/eV/atom) = 0.811
- mass density (g cm⁻³) = 9.48
- calculated formation energy (eV/atom) = 1.304

Lattice parameters (Å, degrees): 4.4124 4.4124 19.1242 90.00 90.00 90.00
Space group I-42d (No. 122)
Symmetry-distinct sites (fractional):
Rb 0.0000 0.0000 0.0000 [4 per cell]
Zn 0.0000 0.0000 0.5000 [4 per cell]
Os 0.1133 0.7500 0.6250 [8 per cell]